Entry 1:
Entry from Alexandria: crystalline Tm6ScCd at its relaxed geometry (PBE-GGA).

a b c (Å): 8.9480 8.4016 6.1380
angles (deg): 46.82 43.17 57.76
Last column: nearest neighbours and their distance in Å.
Fractional coordinates of all 8 atoms:
Tm1 0.0360 0.4557 0.7533  1 Cd 3.12, 4 Tm 3.14-3.48, 1 Sc 3.35
Tm2 0.7552 0.9643 0.7360  1 Cd 3.12, 4 Tm 3.14-3.48, 1 Sc 3.36
Tm3 0.5443 0.2450 0.1748  1 Cd 3.11, 4 Tm 3.14-3.48, 1 Sc 3.35
Tm4 0.2448 0.0357 0.2640  1 Cd 3.12, 4 Tm 3.14-3.48, 1 Sc 3.36
Tm5 0.9640 0.5443 0.2467  1 Cd 3.12, 4 Tm 3.14-3.48, 1 Sc 3.35
Tm6 0.4557 0.7550 0.8252  1 Cd 3.11, 4 Tm 3.14-3.48, 1 Sc 3.35
Sc1 0.5000 0.5000 0.5000  12 Tm 3.35-3.54
Cd1 0.0000 0.0000 0.0000  6 Tm 3.11-3.12

Summary:
calculated total energy = -4.189 eV per atom

=====

Entry 2:
Entry from Alexandria: crystalline Pu4Pd2Pt3 at its relaxed geometry (PBE-GGA).

a b c (Å): 4.6770 5.4625 8.3983
angles (deg): 82.74 89.98 64.61
Last column: nearest neighbours and their distance in Å.
Fractional coordinates of all 9 atoms:
Pu1 0.6605 0.6792 0.9288  3 Pt 2.84-2.93, 3 Pd 2.98-3.14, 2 Pu 3.07
Pu2 0.0713 0.8571 0.3448  6 Pt 2.88-3.15, 3 Pd 3.02-3.15, 1 Pu 3.13
Pu3 0.9287 0.1429 0.6552  6 Pt 2.88-3.15, 3 Pd 3.02-3.15, 1 Pu 3.13
Pu4 0.3395 0.3208 0.0712  3 Pt 2.84-2.93, 3 Pd 2.98-3.14, 2 Pu 3.07
Pd1 0.2503 0.4994 0.7178  3 Pt 2.80-2.99, 3 Pu 2.98-3.02
Pd2 0.7497 0.5006 0.2822  3 Pt 2.80-2.99, 3 Pu 2.98-3.02
Pt1 0.3750 0.2505 0.4131  1 Pt 2.69, 3 Pd 2.80-2.99, 2 Pu 2.84-2.97
Pt2 0.0000 0.0000 0.0000  6 Pu 2.88-2.93
Pt3 0.6250 0.7495 0.5869  1 Pt 2.69, 3 Pd 2.80-2.99, 2 Pu 2.84-2.97

Summary:
calculated total energy = -10.111 eV per atom

=====

Entry 3:
Entry from Alexandria: crystalline Sm4ErHg at its relaxed geometry (PBE-GGA).

a b c (Å): 3.6393 3.6393 14.1064
angles (deg): 90.00 90.00 90.00
Last column: nearest neighbours and their distance in Å.
Fractional coordinates of all 6 atoms:
Sm1 0.5000 0.5000 0.1757  4 Er 3.57, 8 Sm 3.61-3.64
Sm2 0.0000 0.0000 0.6447  4 Hg 3.28, 8 Sm 3.61-3.64
Sm3 0.0000 0.0000 0.3553  4 Hg 3.28, 8 Sm 3.61-3.64
Sm4 0.5000 0.5000 0.8243  4 Er 3.57, 8 Sm 3.61-3.64
Er1 0.0000 0.0000 0.0000  8 Sm 3.57, 4 Er 3.64
Hg1 0.5000 0.5000 0.5000  8 Sm 3.28, 4 Hg 3.64

Summary:
calculated total energy = -4.101 eV per atom
polymorph energy (0 for the lowest one) = 0.0 kJ per mole of atoms

=====

Entry 4:
Entry from Alexandria: crystalline SrCdBr at its relaxed geometry (PBE-GGA).

a b c (Å): 5.4962 5.4962 5.4962
angles (deg): 60.00 60.00 60.00
Last column: nearest neighbours and their distance in Å.
Fractional coordinates of all 3 atoms:
Sr1 0.2500 0.2500 0.2500  4 Br 3.37, 4 Cd 3.37
Br1 0.0000 0.0000 0.0000  4 Sr 3.37
Cd1 0.5000 0.5000 0.5000  4 Sr 3.37

Summary:
formation energy without anion corrections = -0.68 eV per atom
calculated total energy = -2.101 eV per atom
polymorph energy (0 for the lowest one) = 20.2 kJ per mole of atoms

=====

no.,D(E_F) (states/eV/atom)
1,1.66
2,4.33
3,1.30
4,0.82